Cs3TlH6: optimized geometry, PBE.

a = 10.2719 Å, b = 10.2719 Å, c = 5.0603 Å
α = 90.00°, β = 90.00°, γ = 99.50°
Last column: nearest neighbours and their distance in Å.
Fractional coordinates of all 20 atoms:
Cs 0.0881 0.9119 0.5000  6 H 3.11-3.27
Cs 0.1712 0.3892 0.9327  5 H 3.00-3.24
Cs 0.3892 0.1712 0.4327  5 H 3.00-3.24
Cs 0.6108 0.8288 0.9327  5 H 3.00-3.24
Cs 0.8288 0.6108 0.4327  5 H 3.00-3.24
Cs 0.9119 0.0881 0.0000  6 H 3.11-3.27
Tl 0.3316 0.6684 0.4048  4 H 1.79-1.82
Tl 0.6684 0.3316 0.9048  4 H 1.79-1.82
H 0.0887 0.2291 0.4473  5 Cs 3.00-3.27, 2 H 3.35
H 0.1605 0.6169 0.5008  1 Tl 1.82
H 0.2291 0.0887 0.9473  5 Cs 3.00-3.27, 2 H 3.35
H 0.3386 0.6614 0.0499  1 Tl 1.80
H 0.3831 0.8395 0.5008  1 Tl 1.82
H 0.4352 0.5648 0.5553  1 Tl 1.79
H 0.5648 0.4352 0.0553  1 Tl 1.79
H 0.6169 0.1605 0.0008  1 Tl 1.82
H 0.6614 0.3386 0.5499  1 Tl 1.80
H 0.7709 0.9113 0.4473  5 Cs 3.00-3.27, 2 H 3.35
H 0.8395 0.3831 0.0008  1 Tl 1.82
H 0.9113 0.7709 0.9473  5 Cs 3.00-3.27, 2 H 3.35

Properties
D(E_F), states/eV/cell: 0.000
E_tot, eV for the cell shown: -49.53
Total magnetization, μB/cell: 0.00
Volume, Å³/cell: 527